(1)
# RbPdPtCl6

An optimized crystal structure of RbPdPtCl6 (GGA-PBE, Alexandria).

Summary:
Total DFT energy (no corrections), eV per atom: -3.301
Crystal system: triclinic
E_form (uncorrected), eV/atom: -0.71
Total magnetization, Bohr magnetons per cell: 0.0

```
data_RbPdPtCl6
_cell_length_a 6.4871
_cell_length_b 6.4938
_cell_length_c 6.9726
_cell_angle_alpha 94.02
_cell_angle_beta 94.16
_cell_angle_gamma 110.05
_symmetry_space_group_name_H-M 'P 1'
_symmetry_Int_Tables_number 1
_symmetry_space_group_name_Hall 'P 1'
loop_
_atom_site_label
_atom_site_type_symbol
_atom_site_fract_x
_atom_site_fract_y
_atom_site_fract_z
Rb1 Rb 0.0000 0.0000 0.0000
Pd1 Pd 0.2788 0.7209 0.5000
Pt1 Pt 0.6145 0.3849 0.4999
Cl1 Cl 0.3294 0.0733 0.6440
Cl2 Cl 0.3308 0.4321 0.2924
Cl3 Cl 0.5677 0.6677 0.7079
Cl4 Cl 0.6362 0.1107 0.2766
Cl5 Cl 0.8898 0.3626 0.7225
Cl6 Cl 0.9259 0.6708 0.3561
```

=====

(2)
# Pa2AlPd

An optimized crystal structure of Pa2AlPd (GGA-PBE, Alexandria).

Summary:
Total DFT energy (no corrections), eV per atom: -7.300
Crystal system: tetragonal
Energy relative to the elements, eV per atom: -0.32
Excess energy over the best structure of this formula in the dataset, eV per formula unit: 0.00
Total magnetization, Bohr magnetons per cell: 0.0

```
data_Pa2AlPd
_cell_length_a 4.2694
_cell_length_b 4.2694
_cell_length_c 4.5384
_cell_angle_alpha 90.00
_cell_angle_beta 90.00
_cell_angle_gamma 90.00
_symmetry_space_group_name_H-M 'P 4/m m m'
_symmetry_Int_Tables_number 123
_symmetry_space_group_name_Hall '-P 4 2'
loop_
_atom_site_label
_atom_site_type_symbol
_atom_site_fract_x
_atom_site_fract_y
_atom_site_fract_z
Pa1 Pa 0.0000 0.5000 0.0000
Al1 Al 0.0000 0.0000 0.5000
Pd1 Pd 0.5000 0.5000 0.5000
```

=====

(3)
# CaCuMo2

An optimized crystal structure of CaCuMo2 (GGA-PBE, Alexandria).

Summary:
Total DFT energy (no corrections), eV per atom: -6.114
Crystal system: trigonal
Energy relative to the elements, eV per atom: 0.83
Excess energy over the best structure of this formula in the dataset, eV per formula unit: 1.95
Total magnetization, Bohr magnetons per cell: 0.0

```
data_CaCuMo2
_cell_length_a 2.8336
_cell_length_b 2.8336
_cell_length_c 29.7837
_cell_angle_alpha 90.00
_cell_angle_beta 90.00
_cell_angle_gamma 120.00
_symmetry_space_group_name_H-M 'R -3 m'
_symmetry_Int_Tables_number 166
_symmetry_space_group_name_Hall '-R 3 2"'
loop_
_atom_site_label
_atom_site_type_symbol
_atom_site_fract_x
_atom_site_fract_y
_atom_site_fract_z
Ca1 Ca 0.0000 0.0000 0.0000
Cu1 Cu 0.0000 0.0000 0.5000
Mo1 Mo 0.0000 0.0000 0.2406
```

=====

(4)
# Sc2VBAu

An optimized crystal structure of Sc2VBAu (GGA-PBE, Alexandria).

Summary:
Total DFT energy (no corrections), eV per atom: -5.032
Crystal system: tetragonal
Energy relative to the elements, eV per atom: 1.31
Total magnetization, Bohr magnetons per cell: 0.0

```
data_Sc2VBAu
_cell_length_a 5.0791
_cell_length_b 5.0791
_cell_length_c 4.7052
_cell_angle_alpha 90.00
_cell_angle_beta 90.00
_cell_angle_gamma 90.00
_symmetry_space_group_name_H-M 'P 4/m m m'
_symmetry_Int_Tables_number 123
_symmetry_space_group_name_Hall '-P 4 2'
loop_
_atom_site_label
_atom_site_type_symbol
_atom_site_fract_x
_atom_site_fract_y
_atom_site_fract_z
Sc1 Sc 0.0000 0.5000 0.0000
V1 V 0.0000 0.0000 0.5000
B1 B 0.5000 0.5000 0.5000
Au1 Au 0.0000 0.0000 0.0000
```

=====

(5)
# LiLa2Ni4P3

An optimized crystal structure of LiLa2Ni4P3 (GGA-PBE, Alexandria).

Summary:
Total DFT energy (no corrections), eV per atom: -6.018
Crystal system: tetragonal
Energy relative to the elements, eV per atom: -0.91
Total magnetization, Bohr magnetons per cell: 0.0

```
data_LiLa2Ni4P3
_cell_length_a 4.0455
_cell_length_b 4.0455
_cell_length_c 9.4265
_cell_angle_alpha 90.00
_cell_angle_beta 90.00
_cell_angle_gamma 90.00
_symmetry_space_group_name_H-M 'P -4 m 2'
_symmetry_Int_Tables_number 115
_symmetry_space_group_name_Hall 'P -4 -2'
loop_
_atom_site_label
_atom_site_type_symbol
_atom_site_fract_x
_atom_site_fract_y
_atom_site_fract_z
Li1 Li 0.0000 0.0000 0.0000
La1 La 0.0000 0.5000 0.7454
Ni1 Ni 0.0000 0.0000 0.5000
Ni2 Ni 0.0000 0.5000 0.1248
Ni3 Ni 0.5000 0.5000 0.5000
P1 P 0.0000 0.5000 0.3711
P2 P 0.5000 0.5000 0.0000
```

=====

(6)
# HfF

An optimized crystal structure of HfF (GGA-PBE, Alexandria).

Summary:
Total DFT energy (no corrections), eV per atom: -7.830
Crystal system: tetragonal
E_form (uncorrected), eV/atom: -1.92
Excess energy over the best structure of this formula in the dataset, eV per formula unit: 0.44
Total magnetization, Bohr magnetons per cell: 1.9

```
data_HfF
_cell_length_a 10.0633
_cell_length_b 10.0633
_cell_length_c 3.1220
_cell_angle_alpha 90.00
_cell_angle_beta 90.00
_cell_angle_gamma 90.00
_symmetry_space_group_name_H-M 'I 4/m'
_symmetry_Int_Tables_number 87
_symmetry_space_group_name_Hall '-I 4'
loop_
_atom_site_label
_atom_site_type_symbol
_atom_site_fract_x
_atom_site_fract_y
_atom_site_fract_z
Hf1 Hf 0.1058 0.6507 0.0000
F1 F 0.1638 0.8011 0.5000
```

=====

(7)
# GeBrF

An optimized crystal structure of GeBrF (GGA-PBE, Alexandria).

Summary:
Total DFT energy (no corrections), eV per atom: -3.967
Crystal system: tetragonal
E_form (uncorrected), eV/atom: -1.25
Total magnetization, Bohr magnetons per cell: 0.0

```
data_GeBrF
_cell_length_a 4.1238
_cell_length_b 4.1238
_cell_length_c 10.8171
_cell_angle_alpha 90.00
_cell_angle_beta 90.00
_cell_angle_gamma 90.00
_symmetry_space_group_name_H-M 'I 4 m m'
_symmetry_Int_Tables_number 107
_symmetry_space_group_name_Hall 'I 4 -2'
loop_
_atom_site_label
_atom_site_type_symbol
_atom_site_fract_x
_atom_site_fract_y
_atom_site_fract_z
Ge1 Ge 0.0000 0.0000 0.0000
Br1 Br 0.0000 0.0000 0.5099
F1 F 0.0000 0.0000 0.8356
```

=====

(8)
# ScHg2Os

An optimized crystal structure of ScHg2Os (GGA-PBE, Alexandria).

Summary:
Total DFT energy (no corrections), eV per atom: -4.452
Crystal system: tetragonal
Energy relative to the elements, eV per atom: 0.09
Excess energy over the best structure of this formula in the dataset, eV per formula unit: 0.00
Total magnetization, Bohr magnetons per cell: 0.0

```
data_ScHg2Os
_cell_length_a 4.1263
_cell_length_b 4.1263
_cell_length_c 8.7469
_cell_angle_alpha 90.00
_cell_angle_beta 90.00
_cell_angle_gamma 90.00
_symmetry_space_group_name_H-M 'I 4/m m m'
_symmetry_Int_Tables_number 139
_symmetry_space_group_name_Hall '-I 4 2'
loop_
_atom_site_label
_atom_site_type_symbol
_atom_site_fract_x
_atom_site_fract_y
_atom_site_fract_z
Sc1 Sc 0.0000 0.0000 0.0000
Hg1 Hg 0.0000 0.5000 0.2500
Os1 Os 0.0000 0.0000 0.5000
```

=====

(9)
# Cs2LaP2S6

An optimized crystal structure of Cs2LaP2S6 (GGA-PBE, Alexandria).

Summary:
Total DFT energy (no corrections), eV per atom: -4.782
Crystal system: monoclinic
E_form (uncorrected), eV/atom: -0.94
Total magnetization, Bohr magnetons per cell: 0.0

```
data_Cs2LaP2S6
_cell_length_a 12.5597
_cell_length_b 7.2115
_cell_length_c 8.3363
_cell_angle_alpha 90.00
_cell_angle_beta 119.19
_cell_angle_gamma 90.00
_symmetry_space_group_name_H-M 'C 1 2/m 1'
_symmetry_Int_Tables_number 12
_symmetry_space_group_name_Hall '-C 2y'
loop_
_atom_site_label
_atom_site_type_symbol
_atom_site_fract_x
_atom_site_fract_y
_atom_site_fract_z
Cs1 Cs 0.2202 0.0000 0.1982
La1 La 0.0000 0.0000 0.5000
P1 P 0.0529 0.5000 0.1761
S1 S 0.0245 0.2645 0.7803
S2 S 0.2447 0.5000 0.3457
```

=====

(10)
# ReRuRh3

An optimized crystal structure of ReRuRh3 (GGA-PBE, Alexandria).

Summary:
Total DFT energy (no corrections), eV per atom: -7.128
Crystal system: cubic
Energy relative to the elements, eV per atom: 1.63
Excess energy over the best structure of this formula in the dataset, eV per formula unit: 8.34
Total magnetization, Bohr magnetons per cell: 3.0

```
data_ReRuRh3
_cell_length_a 4.6558
_cell_length_b 4.6558
_cell_length_c 4.6558
_cell_angle_alpha 90.00
_cell_angle_beta 90.00
_cell_angle_gamma 90.00
_symmetry_space_group_name_H-M 'P m -3 m'
_symmetry_Int_Tables_number 221
_symmetry_space_group_name_Hall '-P 4 2 3'
loop_
_atom_site_label
_atom_site_type_symbol
_atom_site_fract_x
_atom_site_fract_y
_atom_site_fract_z
Re1 Re 0.0000 0.0000 0.0000
Ru1 Ru 0.5000 0.5000 0.5000
Rh1 Rh 0.0000 0.0000 0.5000
```

=====

(11)
# CaNbSiPb2

An optimized crystal structure of CaNbSiPb2 (GGA-PBE, Alexandria).

Summary:
Total DFT energy (no corrections), eV per atom: -4.504
Crystal system: tetragonal
E_form (uncorrected), eV/atom: 0.48
Total magnetization, Bohr magnetons per cell: 2.2

```
data_CaNbSiPb2
_cell_length_a 5.4845
_cell_length_b 5.4845
_cell_length_c 4.9130
_cell_angle_alpha 90.00
_cell_angle_beta 90.00
_cell_angle_gamma 90.00
_symmetry_space_group_name_H-M 'P 4/m m m'
_symmetry_Int_Tables_number 123
_symmetry_space_group_name_Hall '-P 4 2'
loop_
_atom_site_label
_atom_site_type_symbol
_atom_site_fract_x
_atom_site_fract_y
_atom_site_fract_z
Ca1 Ca 0.0000 0.0000 0.0000
Nb1 Nb 0.5000 0.5000 0.0000
Si1 Si 0.5000 0.5000 0.5000
Pb1 Pb 0.0000 0.5000 0.5000
```

=====

(12)
# KCe2TmSe4

An optimized crystal structure of KCe2TmSe4 (GGA-PBE, Alexandria).

Summary:
Total DFT energy (no corrections), eV per atom: -5.580
Crystal system: monoclinic
E_form (uncorrected), eV/atom: -1.66
Total magnetization, Bohr magnetons per cell: 2.5

```
data_KCe2TmSe4
_cell_length_a 7.3715
_cell_length_b 4.1914
_cell_length_c 7.4049
_cell_angle_alpha 90.00
_cell_angle_beta 108.69
_cell_angle_gamma 90.00
_symmetry_space_group_name_H-M 'P 1 2/m 1'
_symmetry_Int_Tables_number 10
_symmetry_space_group_name_Hall '-P 2y'
loop_
_atom_site_label
_atom_site_type_symbol
_atom_site_fract_x
_atom_site_fract_y
_atom_site_fract_z
K1 K 0.0000 0.0000 0.0000
Ce1 Ce 0.5000 0.0000 0.5000
Ce2 Ce 0.5000 0.5000 0.0000
Tm1 Tm 0.0000 0.5000 0.5000
Se1 Se 0.2403 0.0000 0.7327
Se2 Se 0.2544 0.5000 0.2698
```

=====

Question: The lowest total DFT energy (no corrections) belongs to which entry?
Answer: HfF

=====

Question: Which formula does entry 9 have?
Answer: Cs2LaP2S6

=====

Copy entry 2 word for word.
# Pa2AlPd

An optimized crystal structure of Pa2AlPd (GGA-PBE, Alexandria).

Summary:
Total DFT energy (no corrections), eV per atom: -7.300
Crystal system: tetragonal
Energy relative to the elements, eV per atom: -0.32
Excess energy over the best structure of this formula in the dataset, eV per formula unit: 0.00
Total magnetization, Bohr magnetons per cell: 0.0

```
data_Pa2AlPd
_cell_length_a 4.2694
_cell_length_b 4.2694
_cell_length_c 4.5384
_cell_angle_alpha 90.00
_cell_angle_beta 90.00
_cell_angle_gamma 90.00
_symmetry_space_group_name_H-M 'P 4/m m m'
_symmetry_Int_Tables_number 123
_symmetry_space_group_name_Hall '-P 4 2'
loop_
_atom_site_label
_atom_site_type_symbol
_atom_site_fract_x
_atom_site_fract_y
_atom_site_fract_z
Pa1 Pa 0.0000 0.5000 0.0000
Al1 Al 0.0000 0.0000 0.5000
Pd1 Pd 0.5000 0.5000 0.5000
```

=====

Question: Among the records above, which one has the highest total DFT energy (no corrections)?
Answer: RbPdPtCl6